(1)
Compound: KLi2As
Source: Alexandria
Functional: PBE-GGA
Structure: relaxed

a = 4.4559 Å, b = 4.4559 Å, c = 6.1954 Å
α = 110.79°, β = 110.79°, γ = 59.94°
Positions (direct):
K  0.0000  0.0000  0.0000
Li  0.1870  0.1870  0.5616
Li  0.8130  0.8130  0.4384
As  0.5000  0.5000  0.5000

**Volume**: 97 Å³ per cell
**E_tot**: -11.92 eV/f.u.
**Symmetry**: C2/m

***

(2)
Compound: La5Zn2O2
Source: Alexandria
Functional: PBE-GGA
Structure: relaxed

a = 10.6318 Å, b = 10.6318 Å, c = 10.6318 Å
α = 56.76°, β = 141.30°, γ = 140.15°
Positions (direct):
La  0.2392  0.2632  0.4760
La  0.2452  0.0235  0.2687
La  0.2452  0.4765  0.7217
La  0.6201  0.0901  0.2545
La  0.6201  0.8656  0.0300
La  0.7548  0.5235  0.2783
La  0.7548  0.9765  0.7313
La  0.7872  0.7632  0.5240
La  0.8356  0.3656  0.7455
La  0.8356  0.5901  0.9700
Zn  0.2304  0.1349  0.8370
Zn  0.2304  0.8933  0.5954
Zn  0.2979  0.3933  0.1630
Zn  0.2979  0.6349  0.4046
O  0.7250  0.4960  0.7290
O  0.7450  0.2450  0.5000
O  0.7450  0.7450  0.0000
O  0.7671  0.9960  0.2710

**Volume**: 478 Å³ per cell
**E_tot**: -49.18 eV/f.u.
**Symmetry**: Ima2
**Energy relative to the elements, uncorrected**: -1.34 eV/atom

***

(3)
Compound: LiAg3Pd6
Source: Alexandria
Functional: PBE-GGA
Structure: relaxed

a = 5.1069 Å, b = 5.1069 Å, c = 7.0827 Å
α = 90.00°, β = 90.00°, γ = 120.00°
Positions (direct):
Li  0.0000  0.0000  0.0000
Ag  0.0000  0.0000  0.5000
Ag  0.3333  0.6667  0.5000
Ag  0.6667  0.3333  0.5000
Pd  0.0000  0.3812  0.8238
Pd  0.0000  0.6188  0.1762
Pd  0.3812  0.0000  0.8238
Pd  0.3812  0.3812  0.1762
Pd  0.6188  0.0000  0.1762
Pd  0.6188  0.6188  0.8238

**Volume**: 160 Å³ per cell
**E_tot**: -41.35 eV/f.u.
**Symmetry**: P-31m

***

(4)
Compound: Sr2LiZn6Cu
Source: Alexandria
Functional: PBE-GGA
Structure: relaxed

a = 6.7433 Å, b = 6.7433 Å, c = 6.7124 Å
α = 119.75°, β = 119.75°, γ = 90.30°
Positions (direct):
Sr  0.2500  0.7500  0.0000
Sr  0.7500  0.2500  0.0000
Li  0.0000  0.0000  0.5000
Zn  0.2484  0.2484  0.5001
Zn  0.2489  0.2489  0.9973
Zn  0.2487  0.7513  0.5000
Zn  0.7513  0.2487  0.5000
Zn  0.7511  0.7511  0.0027
Zn  0.7516  0.7516  0.4999
Cu  0.5000  0.5000  0.5000

**Volume**: 217 Å³ per cell
**E_tot**: -17.41 eV/f.u.
**Symmetry**: C2/m

***

(5)
Compound: Ba2Zn2SnP4
Source: Alexandria
Functional: PBE-GGA
Structure: relaxed

a = 7.9184 Å, b = 7.9184 Å, c = 7.4831 Å
α = 110.61°, β = 110.61°, γ = 29.54°
Positions (direct):
Ba  0.1328  0.1328  0.0535
Ba  0.8672  0.8672  0.9465
Zn  0.3180  0.3180  0.5067
Zn  0.6820  0.6820  0.4933
Sn  0.0000  0.0000  0.5000
P  0.2013  0.2013  0.6881
P  0.4782  0.4782  0.7298
P  0.5218  0.5218  0.2702
P  0.7987  0.7987  0.3119

**Volume**: 215 Å³ per cell
**E_tot**: -36.88 eV/f.u.
**Symmetry**: C2/m

***

(6)
Compound: TiTeP2Cl
Source: Alexandria
Functional: PBE-GGA
Structure: relaxed

a = 4.9201 Å, b = 4.9201 Å, c = 4.5352 Å
α = 90.00°, β = 90.00°, γ = 90.00°
Positions (direct):
Ti  0.0000  0.0000  0.0000
Te  0.5000  0.5000  0.5000
P  0.0000  0.5000  0.0000
P  0.5000  0.0000  0.0000
Cl  0.0000  0.0000  0.5000

**Volume**: 110 Å³ per cell
**E_tot**: -23.81 eV/f.u.
**Symmetry**: P4/mmm
**Energy relative to the elements, uncorrected**: -0.02 eV/atom

***

(7)
Compound: NdLuPt2
Source: Alexandria
Functional: PBE-GGA
Structure: relaxed

a = 3.4894 Å, b = 3.4894 Å, c = 7.1375 Å
α = 90.00°, β = 90.00°, γ = 90.00°
Positions (direct):
Nd  0.0000  0.0000  0.0000
Lu  0.0000  0.0000  0.5000
Pt  0.5000  0.5000  0.2749
Pt  0.5000  0.5000  0.7251

**Volume**: 87 Å³ per cell
**E_tot**: -26.03 eV/f.u.
**Symmetry**: P4/mmm

***

(8)
Compound: LaMo2Au
Source: Alexandria
Functional: PBE-GGA
Structure: relaxed

a = 10.7392 Å, b = 10.7392 Å, c = 10.7392 Å
α = 15.65°, β = 15.65°, γ = 15.65°
Positions (direct):
La  0.0000  0.0000  0.0000
Mo  0.2403  0.2403  0.2403
Mo  0.7597  0.7597  0.7597
Au  0.5000  0.5000  0.5000

**Volume**: 79 Å³ per cell
**E_tot**: -26.87 eV/f.u.
**Symmetry**: R-3m

***

(9)
Compound: VSbTeN2
Source: Alexandria
Functional: PBE-GGA
Structure: relaxed

a = 4.0011 Å, b = 4.0011 Å, c = 5.4390 Å
α = 90.00°, β = 90.00°, γ = 90.00°
Positions (direct):
V  0.0000  0.0000  0.0000
Sb  0.5000  0.5000  0.5000
Te  0.0000  0.0000  0.5000
N  0.0000  0.5000  0.0000
N  0.5000  0.0000  0.0000

**Volume**: 87 Å³ per cell
**E_tot**: -29.64 eV/f.u.
**Symmetry**: P4/mmm
**Energy relative to the elements, uncorrected**: 0.68 eV/atom

***

(10)
Compound: AgIrSN2
Source: Alexandria
Functional: PBE-GGA
Structure: relaxed

a = 3.9006 Å, b = 3.9006 Å, c = 5.2597 Å
α = 90.00°, β = 90.00°, γ = 90.00°
Positions (direct):
Ag  0.0000  0.0000  0.0000
Ir  0.5000  0.5000  0.5000
S  0.0000  0.0000  0.5000
N  0.0000  0.5000  0.0000
N  0.5000  0.0000  0.0000

**Volume**: 80 Å³ per cell
**E_tot**: -20.38 eV/f.u.
**Symmetry**: P4/mmm
**Energy relative to the elements, uncorrected**: 2.42 eV/atom

***

(11)
Compound: BaNdSm
Source: Alexandria
Functional: PBE-GGA
Structure: relaxed

a = 8.8736 Å, b = 8.8736 Å, c = 8.8736 Å
α = 155.12°, β = 155.12°, γ = 35.47°
Positions (direct):
Ba  0.0000  0.0000  0.0000
Nd  0.3181  0.3181  0.0000
Sm  0.6806  0.6806  0.0000

**Volume**: 123 Å³ per cell
**E_tot**: -11.00 eV/f.u.
**Symmetry**: I4mm

***

(12)
Compound: VReTc2
Source: Alexandria
Functional: PBE-GGA
Structure: relaxed

a = 5.5589 Å, b = 5.5589 Å, c = 5.5589 Å
α = 102.30°, β = 102.30°, γ = 125.02°
Positions (direct):
V  0.0000  0.0000  0.0000
V  0.7500  0.2500  0.5000
Re  0.2500  0.7500  0.5000
Re  0.5000  0.5000  0.0000
Tc  0.1249  0.6250  0.9999
Tc  0.3750  0.3749  0.4999
Tc  0.6251  0.1250  0.0001
Tc  0.8750  0.8751  0.5001

**Volume**: 125 Å³ per cell
**E_tot**: -39.65 eV/f.u.
**Symmetry**: I-42d